Below is a relaxed DyHoSnHg crystal, with properties calculated at the PBE level.

Summary:
- Symmetry: No. 99
- Crystal system: tetragonal
- E_form: -550 meV per atom
- Magnetization: 0.000 μB/atom
- Energy: -15.7 eV per cell

Geometry as extended XYZ:
```
4
Lattice="-0.549 2.803 -2.490 -2.969 1.211 2.018 4.396 4.309 3.882" Properties=species:S:1:pos:R:3 pbc="T T T"
Ho -1.273 2.483 0.194
Sn 3.774 3.699 3.333
Dy 0.896 4.609 2.109
Hg 1.560 1.530 1.378
```



Below is a relaxed YAl crystal, with properties calculated at the PBE level.

Summary:
- Symmetry: No. 74
- Crystal system: orthorhombic
- E_form: -383 meV per atom
- Magnetization: 0.000 μB/atom
- Energy: -21.9 eV per cell

Geometry as extended XYZ:
```
4
Lattice="6.091 -0.012 -0.015 3.017 5.291 0.015 -4.153 -3.331 2.959" Properties=species:S:1:pos:R:3 pbc="T T T"
Al 1.523 -0.695 2.215
Al 3.432 2.644 0.743
Y 4.584 -0.230 0.728
Y 0.371 2.179 2.230
```



Below is a relaxed Cs3MgAg2F6 crystal, with properties calculated at the PBE level.

Summary:
- Symmetry: No. 164
- ΔE_f (raw): -2199.8 meV/atom
- Crystal system: trigonal
- Magnetization: 0.000 μB/atom
- Energy: -47.5 eV per cell

Geometry as extended XYZ:
```
12
Lattice="6.336 0.000 0.000 -3.168 5.487 0.000 0.000 0.000 7.532" Properties=species:S:1:pos:R:3 pbc="T T T"
Cs 0.000 0.000 0.000
Cs 3.168 1.829 2.684
Cs 0.000 3.658 4.848
F 1.434 0.828 4.980
F 3.168 3.832 4.980
F 1.735 4.660 2.551
F 4.903 0.828 4.980
F 0.000 1.655 2.551
F -1.735 4.660 2.551
Ag 0.000 3.658 1.228
Ag 3.168 1.829 6.303
Mg 0.000 0.000 3.766
```



Below is a relaxed Ga2MoN crystal, with properties calculated at the PBE level.

Summary:
- Symmetry: No. 122
- ΔE_f (raw): 466.4 meV/atom
- Crystal system: tetragonal
- Magnetization: 0.000 μB/atom
- Energy: -46.7 eV per cell

Geometry as extended XYZ:
```
8
Lattice="-2.529 -1.832 5.728 -3.401 -4.689 -3.001 -1.062 -4.853 1.695" Properties=species:S:1:pos:R:3 pbc="T T T"
Ga -2.892 -4.507 -0.317
Ga -3.269 -6.428 2.074
Ga -5.736 -9.002 3.877
Ga -2.086 -2.810 3.210
Mo -3.277 -4.972 4.393
Mo 0.000 0.000 0.000
N -3.714 -6.401 0.029
N -2.965 -3.260 1.364
```



Below is a relaxed RbHgOsO6 crystal, with properties calculated at the PBE level.

Summary:
- Symmetry: No. 1
- ΔE_f (raw): -792.4 meV/atom
- Crystal system: triclinic
- Magnetization: 0.117 μB/atom
- Energy: -49.4 eV per cell

Geometry as extended XYZ:
```
9
Lattice="-2.450 -4.659 -3.573 0.026 -5.956 1.894 -4.882 0.617 1.858" Properties=species:S:1:pos:R:3 pbc="T T T"
O -2.438 -3.311 -1.187
O -4.060 -1.590 -0.306
O -4.777 -4.323 -0.096
O -2.394 -4.667 1.120
O -3.974 -2.617 1.886
O -1.858 -2.024 1.224
Os -3.345 -3.398 0.325
Rb -4.792 0.308 1.664
Hg -4.047 -7.137 -0.377
```



Below is a relaxed Ac3As2Br crystal, with properties calculated at the PBE level.

Summary:
- Symmetry: No. 63
- ΔE_f (raw): -1143.0 meV/atom
- Crystal system: orthorhombic
- Magnetization: 0.241 μB/atom
- Energy: -60.3 eV per cell

Geometry as extended XYZ:
```
12
Lattice="-4.196 -1.538 0.965 2.712 -4.758 -6.618 4.953 -8.436 8.095" Properties=species:S:1:pos:R:3 pbc="T T T"
Ac 1.241 -2.131 2.000
Ac 2.999 -8.410 -0.362
Ac 2.229 -12.601 0.443
Ac 0.471 -6.321 2.804
Ac 5.337 -12.392 3.459
Ac -1.867 -2.339 -1.017
As 2.477 -4.218 4.048
As -0.704 -4.275 0.955
As 4.174 -10.456 1.488
As 0.000 0.000 0.000
Br 1.791 -8.660 4.817
Br 1.679 -6.071 -2.374
```



Below is a relaxed PmNd2Tm2Th2 crystal, with properties calculated at the PBE level.

Summary:
- Symmetry: No. 12
- Crystal system: monoclinic
- E_form: 132 meV per atom
- Magnetization: 0.000 μB/atom
- Energy: -37.1 eV per cell

Geometry as extended XYZ:
```
7
Lattice="-0.810 2.847 -1.905 -3.770 -6.395 -4.700 -4.370 3.435 6.990" Properties=species:S:1:pos:R:3 pbc="T T T"
Nd -3.188 -3.274 -3.536
Nd -5.762 3.161 3.920
Th -3.792 -1.481 -0.600
Th -5.158 1.368 0.985
Tm -2.037 1.462 -0.201
Tm -6.913 -1.575 0.585
Pm -2.185 1.718 3.495
```



Below is a relaxed NiCS2 crystal, with properties calculated at the PBE level.

Summary:
- Symmetry: No. 122
- ΔE_f (raw): 566.8 meV/atom
- Crystal system: tetragonal
- Magnetization: 0.000 μB/atom
- Energy: -42.0 eV per cell

Geometry as extended XYZ:
```
8
Lattice="4.790 0.000 0.000 0.000 4.790 0.000 2.395 2.395 4.504" Properties=species:S:1:pos:R:3 pbc="T T T"
S 3.593 3.777 3.378
S 3.409 1.198 1.126
S 1.382 3.593 1.126
S 5.988 5.804 3.378
Ni 4.790 2.395 2.252
Ni 0.000 0.000 0.000
C 2.395 4.790 2.252
C 2.395 2.395 0.000
```



Below is a relaxed Pm4Zn5Ag3 crystal, with properties calculated at the PBE level.

Summary:
- Symmetry: No. 12
- Crystal system: monoclinic
- E_form: -148 meV per atom
- Magnetization: 0.000 μB/atom
- Energy: -35.7 eV per cell

Geometry as extended XYZ:
```
12
Lattice="4.805 0.000 0.000 2.403 8.411 -1.341 2.403 1.078 6.839" Properties=species:S:1:pos:R:3 pbc="T T T"
Ag 2.403 4.744 2.749
Ag 4.805 8.802 1.237
Ag 4.805 0.687 4.261
Zn 7.208 5.792 5.989
Zn 2.403 3.696 -0.491
Zn 4.805 7.233 -1.150
Zn 4.805 4.744 2.749
Zn 4.805 2.255 6.648
Pm 4.805 7.297 4.056
Pm 4.805 2.192 1.442
Pm 7.208 6.769 0.729
Pm 2.403 2.720 4.769
```



Below is a relaxed K2MnMo crystal, with properties calculated at the PBE level.

Summary:
- Symmetry: No. 216
- Crystal system: cubic
- E_form: 1469 meV per atom
- Magnetization: 0.180 μB/atom
- Energy: -16.3 eV per cell

Geometry as extended XYZ:
```
4
Lattice="-0.677 0.352 5.408 -2.079 -4.221 2.772 3.190 -2.907 3.346" Properties=species:S:1:pos:R:3 pbc="T T T"
K 0.108 -1.694 2.881
K 0.000 0.000 0.000
Mn 0.217 -3.388 5.763
Mo 0.325 -5.082 8.644
```



Below is a relaxed NdEr2Rh crystal, with properties calculated at the PBE level.

Summary:
- Symmetry: No. 63
- Crystal system: orthorhombic
- E_form: -485 meV per atom
- Magnetization: 0.000 μB/atom
- Energy: -46.4 eV per cell

Geometry as extended XYZ:
```
8
Lattice="3.779 0.001 0.000 -1.887 6.094 0.000 0.000 0.000 9.387" Properties=species:S:1:pos:R:3 pbc="T T T"
Nd 1.892 5.213 2.347
Nd 0.000 0.882 7.040
Er 0.000 4.379 5.331
Er 1.892 1.716 4.056
Er 0.000 4.379 8.749
Er 1.892 1.716 0.638
Rh 0.002 2.945 2.347
Rh 1.890 3.149 7.040
```



Below is a relaxed Pr2SnBi6 crystal, with properties calculated at the PBE level.

Summary:
- Symmetry: No. 38
- Crystal system: orthorhombic
- E_form: -340 meV per atom
- Magnetization: 0.000 μB/atom
- Energy: -39.9 eV per cell

Geometry as extended XYZ:
```
9
Lattice="4.208 0.000 0.000 0.000 9.657 0.000 0.000 -4.828 7.418" Properties=species:S:1:pos:R:3 pbc="T T T"
Bi 0.000 3.283 5.570
Bi 0.000 8.111 1.848
Bi 2.104 -2.499 4.134
Bi 0.000 2.657 0.000
Bi 2.104 5.139 0.000
Bi 2.104 2.330 3.284
Pr 0.000 0.059 4.828
Pr 0.000 4.887 2.590
Sn 2.104 0.175 0.000
```